Zr2ZnAu at its PBEsol-relaxed geometry, computed with meta-GGA SCAN.

## Properties
**SG**: Cmmm, No. 65
**Fermi-level density of states**: 3.75 states/eV per cell
**Magnetic moment**: 0.0 μB/cell
**V**: 18.31 A^3/atom
**Formation energy from the elements**: -2.0 eV/f.u.
**E_tot**: -36.521 eV per atom

a b c (Å): 5.014 5.014 3.068
angles (deg): 90.00 90.00 108.30
Atoms (fractional coordinates):
Zr: 0.000 0.500 0.000
Zr: 0.500 0.000 0.000
Zn: 0.000 0.000 0.500
Au: 0.500 0.500 0.500

Zr2Zn2Au at its PBEsol-relaxed geometry, computed with meta-GGA SCAN.

## Properties
**SG**: P4/mbm, No. 127
**Fermi-level density of states**: 5.69 states/eV per cell
**Magnetic moment**: 0.0 μB/cell
**V**: 17.54 A^3/atom
**Formation energy from the elements**: -2.8 eV/f.u.
**E_tot**: -32.069 eV per atom

a b c (Å): 6.666 6.666 3.948
angles (deg): 90.00 90.00 90.00
Atoms (fractional coordinates):
Zr: 0.171 0.329 0.000
Zr: 0.329 0.829 0.000
Zr: 0.671 0.171 0.000
Zr: 0.829 0.671 0.000
Zn: 0.130 0.630 0.500
Zn: 0.370 0.130 0.500
Zn: 0.630 0.870 0.500
Zn: 0.870 0.370 0.500
Au: 0.000 0.000 0.500
Au: 0.500 0.500 0.500